[1]
Crystalline NaCa4 at its relaxed geometry, computed with GGA-PBE.

Geometry as POSCAR:
```
NaCa4
1.0
6.109 -3.780 0.000
6.109 3.780 0.000
-3.082 0.000 9.050
Na Ca
2 8
direct
0.250 0.750 0.000 Na
0.750 0.250 0.000 Na
0.151 0.651 0.603 Ca
0.196 0.196 0.784 Ca
0.304 0.304 0.216 Ca
0.349 0.849 0.397 Ca
0.651 0.151 0.603 Ca
0.696 0.696 0.784 Ca
0.804 0.804 0.216 Ca
0.849 0.349 0.397 Ca
```

Calculated values
- D(E_F) (states/eV per cell) = 9.5
- excess energy over the best structure of this formula in the dataset (kJ/mol of atoms) = 3.46
- symmetry = C2/m (12)
- DFT total energy (eV per atom) = -1.797
- size of the total moment (μB/f.u.) = 0.00
- energy relative to the elements (eV/atom) = 0.0678

***

[2]
Crystalline Na3Ca at its relaxed geometry, computed with GGA-PBE.

Geometry as POSCAR:
```
Na3Ca
1.0
3.945 0.000 0.000
0.000 6.152 0.000
0.000 0.000 6.369
Na Ca
3 1
direct
0.000 0.000 0.000 Na
0.000 0.500 0.365 Na
0.500 0.000 0.494 Na
0.500 0.500 0.867 Ca
```

Calculated values
- D(E_F) (states/eV per cell) = 2.3
- symmetry = Pmm2 (25)
- DFT total energy (eV per atom) = -1.420
- size of the total moment (μB/f.u.) = 0.00
- energy relative to the elements (eV/atom) = 0.0692

***

What did the first record say?
Crystalline NaCa4 at its relaxed geometry, computed with GGA-PBE.

Geometry as POSCAR:
```
NaCa4
1.0
6.109 -3.780 0.000
6.109 3.780 0.000
-3.082 0.000 9.050
Na Ca
2 8
direct
0.250 0.750 0.000 Na
0.750 0.250 0.000 Na
0.151 0.651 0.603 Ca
0.196 0.196 0.784 Ca
0.304 0.304 0.216 Ca
0.349 0.849 0.397 Ca
0.651 0.151 0.603 Ca
0.696 0.696 0.784 Ca
0.804 0.804 0.216 Ca
0.849 0.349 0.397 Ca
```

Calculated values
- D(E_F) (states/eV per cell) = 9.5
- excess energy over the best structure of this formula in the dataset (kJ/mol of atoms) = 3.46
- symmetry = C2/m (12)
- DFT total energy (eV per atom) = -1.797
- size of the total moment (μB/f.u.) = 0.00
- energy relative to the elements (eV/atom) = 0.0678